Computed, not measured: a geometry-optimized TbSm3Au2 structure at the GGA-PBE level of DFT.

Output
Magnetization   0.0 μB per cell
Calculated density   10.0 g/cm3
Energy of formation from the pure elements   -0.584 eV/atom

Cell: 5.065 7.179 9.170 Å, 90.00 90.00 90.00°
Atoms (fractional coordinates):
Sm  0.000  0.349  0.335
Sm  0.000  0.491  0.925
Sm  0.000  0.849  0.665
Sm  0.500  0.151  0.834
Tb  0.500  0.509  0.574
Tb  0.500  0.009  0.426
Au  0.000  0.262  0.651
Sm  0.500  0.651  0.166
Au  0.000  0.762  0.349
Au  0.500  0.737  0.844
Au  0.500  0.237  0.156
Sm  0.000  0.991  0.075